First-principles (PBE) data for an optimized crystal structure of Tb2Pm6Nd3Tm, as listed in the Alexandria database.

Results
**Calculated formation energy**: 0.2 eV per formula unit
**SG**: No. 12
**Total magnetization**: 0.0 μB per formula unit
**N(E_F)**: 1.383 states/eV per atom

a = 6.2937 Å, b = 6.2937 Å, c = 12.0172 Å
α = 95.01°, β = 95.01°, γ = 120.01°
Element x y z (fractional)
Pm: 0.4150 0.0822 0.2458
Tb: 0.3333 0.6667 0.0000
Nd: 0.1666 0.8334 0.5000
Pm: 0.7495 0.7495 0.2460
Pm: 0.9178 0.5850 0.7542
Pm: 0.5850 0.9178 0.7542
Pm: 0.0822 0.4150 0.2458
Tm: 0.0000 0.0000 0.0000
Pm: 0.2505 0.2505 0.7540
Nd: 0.8334 0.1666 0.5000
Tb: 0.6667 0.3333 0.0000
Nd: 0.5000 0.5000 0.5000